U2TiNiS5 | PBE | optimized geometry

Output
* energy relative to the elements, uncorrected: -11.5 eV/f.u.
* density of states at the Fermi level: 22.94 states/eV/cell
* energy: -136.79 eV per cell
* total moment: 0.5507 μB/atom
* theoretical density: 7.73 g/cm3

Cell: 7.962 7.962 11.337 Å, 90.00 90.00 153.64°
Element x y z (fractional)
U 0.114 0.886 0.500
U 0.124 0.876 0.856
U 0.876 0.124 0.356
U 0.886 0.114 0.000
Ti 0.176 0.824 0.175
Ti 0.824 0.176 0.675
Ni 0.441 0.559 0.579
Ni 0.559 0.441 0.079
S 0.019 0.981 0.178
S 0.305 0.695 0.523
S 0.307 0.693 0.830
S 0.340 0.660 0.177
S 0.498 0.502 0.906
S 0.502 0.498 0.406
S 0.660 0.340 0.677
S 0.693 0.307 0.330
S 0.695 0.305 0.023
S 0.981 0.019 0.678